The following is a DFT calculation (SCAN) of CsBaI3 at its PBEsol-relaxed geometry. Values from VASP.

Values from the calculation:
Space group: Pnma (62)
Total energy in eV/atom: -39.406
Uncorrected formation energy in eV per atom: -1.89
DOS(E_F) in states/eV/cell: 0.00
Size of the total moment in μB/f.u.: 0.0

Quantum ESPRESSO input file:
```
&SYSTEM
  ibrav = 0, nat = 20, ntyp = 3
/
ATOMIC_SPECIES
Cs 132.91 Cs.upf
Ba 137.33 Ba.upf
I 126.90 I.upf
ATOMIC_POSITIONS angstrom
Cs -2.129 -7.996 -5.646
Cs -7.522 -12.343 2.564
Cs -2.021 -4.520 -2.083
Cs -7.629 -15.819 -0.999
Ba -3.311 -2.349 -6.898
Ba -6.339 -17.989 3.816
Ba -6.061 -8.322 -0.065
Ba -3.589 -12.017 -3.017
I -5.920 -19.069 0.425
I -3.730 -1.270 -3.507
I -4.201 -10.266 2.145
I -5.449 -10.072 -5.227
I -8.791 -15.774 4.926
I -0.859 -4.565 -8.008
I -6.586 -11.601 -1.284
I -3.064 -8.737 -1.798
I -4.300 -5.035 -5.077
I -5.350 -15.303 1.995
I -5.244 -5.038 -0.310
I -4.406 -15.301 -2.772
CELL_PARAMETERS angstrom
-5.030 1.177 -0.995
0.920 -3.195 -8.427
-5.540 -18.321 6.340
```